Record 1
Pm2ScO4 after structural relaxation. Source: the Alexandria database, functional PBE.

Output
The value obtained for the total magnetic moment is 0.50 μB per cell. For the density of states at the Fermi level, the calculation gives 3.890 states/eV per cell. The value obtained for the formation energy without anion corrections is -2.9970 eV/atom. Its crystal system is monoclinic. As for the raw total energy: -8.09 eV/atom.

Unit cell a=6.1320 b=6.0471 c=6.6308 alpha=90.00 beta=106.40 gamma=90.00
Space group P2_1/m (No. 11)
Unique sites:
Pm  0.1383  0.2500  0.0236 x2
Pm  0.2056  0.2500  0.5423 x2
Sc  0.3262  0.7500  0.8309 x2
O  0.0567  0.5223  0.7363 x4
O  0.4452  0.2500  0.3271 x2
O  0.4530  0.2500  0.8876 x2



Record 2
CaLa3Nd6Sm2 after structural relaxation. Source: the Alexandria database, functional PBE.

Output
The formation energy comes out at 35 meV/atom. The value obtained for the total magnetic moment is 0.00 μB per cell. For the density of states at the Fermi level, the calculation gives 38.847 states/eV per cell. Its crystal system is monoclinic. As for the raw total energy: -4.53 eV/atom.

Unit cell a=6.4161 b=11.1319 c=12.2380 alpha=90.00 beta=100.12 gamma=90.00
Space group C2/m (No. 12)
Unique sites:
Ca  0.0000  0.0000  0.0000 x2
La  0.0000  0.1664  0.5000 x4
La  0.0000  0.5000  0.5000 x2
Nd  0.2441  0.5000  0.2494 x4
Nd  0.2465  0.3301  0.7509 x8
Sm  0.0000  0.3330  0.0000 x4



Record 3
HfMn2Be2 after structural relaxation. Source: the Alexandria database, functional PBE.

Output
The formation energy comes out at 70 meV/atom. The value obtained for the total magnetic moment is 0.00 μB per cell. For the density of states at the Fermi level, the calculation gives 6.658 states/eV per cell. Its crystal system is tetragonal. As for the raw total energy: -7.08 eV/atom.

Unit cell a=3.9021 b=3.9021 c=7.9810 alpha=90.00 beta=90.00 gamma=90.00
Space group I4/mmm (No. 139)
Unique sites:
Hf  0.0000  0.0000  0.0000 x2
Mn  0.0000  0.0000  0.3692 x4
Be  0.0000  0.5000  0.2500 x4



Record 4
TiSn3N after structural relaxation. Source: the Alexandria database, functional PBE.

Output
The value obtained for the total magnetic moment is 2.97 μB per cell. For the density of states at the Fermi level, the calculation gives 2.680 states/eV per cell. The value obtained for the formation energy without anion corrections is 1.1576 eV/atom. The value obtained for the energy relative to the lowest polymorph listed for this composition is 3.155 eV per formula unit. Its crystal system is cubic. As for the raw total energy: -4.49 eV/atom.

Unit cell a=5.3059 b=5.3059 c=5.3059 alpha=90.00 beta=90.00 gamma=90.00
Space group Pm-3m (No. 221)
Unique sites:
Ti  0.0000  0.0000  0.0000 x1
Sn  0.0000  0.0000  0.5000 x3
N  0.5000  0.5000  0.5000 x1